# 1
## Cs5Sr3Cl12 (PBE)

Data for a relaxed structure of Cs5Sr3Cl12.

abc: 17.536 17.536 17.536
angles: 109.47 109.47 109.47
Site moments in Bohr magnetons follow the coordinates.
Positions (direct):
Cs (0.625, 0.750, 0.875)  0.00
Cl (0.361, 0.491, 0.304)  0.10
Cl (0.991, 0.687, 0.630)  0.10
Sr (0.375, 0.750, 0.625)  0.00
Cs (0.375, 0.250, 0.125)  0.00
Cl (0.139, 0.943, 0.630)  0.10
Cl (0.491, 0.130, 0.187)  0.10
Cs (0.250, 0.875, 0.125)  0.00
Cl (0.370, 0.557, 0.861)  0.10
Cs (0.500, 0.500, 0.000)  0.01
Sr (0.750, 0.875, 0.625)  0.00
Cs (0.000, 0.000, 0.000)  0.01
Cs (0.500, 0.500, 0.500)  0.01
Cl (0.870, 0.361, 0.057)  0.10
Sr (0.250, 0.125, 0.375)  0.00
Cs (0.625, 0.875, 0.250)  0.00
Cl (0.443, 0.630, 0.639)  0.10
Cl (0.443, 0.813, 0.304)  0.10
Cl (0.639, 0.509, 0.696)  0.10
Cs (0.000, 0.500, 0.000)  0.01
Cl (0.630, 0.443, 0.139)  0.10
Cl (0.696, 0.009, 0.639)  0.10
Cl (0.370, 0.813, 0.009)  0.10
Cl (0.813, 0.443, 0.804)  0.10
Cl (0.491, 0.361, 0.804)  0.10
Cl (0.509, 0.639, 0.196)  0.10
Cl (0.687, 0.696, 0.057)  0.10
Cl (0.187, 0.630, 0.491)  0.10
Cs (0.750, 0.125, 0.875)  0.00
Cl (0.861, 0.057, 0.370)  0.10
Cs (0.000, 0.500, 0.500)  0.01
Cl (0.009, 0.313, 0.370)  0.10
Cl (0.696, 0.687, 0.557)  0.10
Cs (0.000, 0.000, 0.500)  0.01
Cl (0.009, 0.696, 0.139)  0.10
Sr (0.125, 0.250, 0.875)  0.00
Sr (0.250, 0.625, 0.875)  0.00
Cl (0.509, 0.870, 0.813)  0.10
Cs (0.500, 0.000, 0.500)  0.01
Cs (0.500, 0.000, 0.000)  0.01
Cl (0.130, 0.491, 0.687)  0.10
Cl (0.639, 0.130, 0.443)  0.10
Cl (0.304, 0.313, 0.443)  0.10
Cl (0.057, 0.196, 0.687)  0.10
Cs (0.250, 0.375, 0.625)  0.00
Cl (0.139, 0.196, 0.009)  0.10
Cl (0.313, 0.304, 0.943)  0.10
Cl (0.943, 0.804, 0.313)  0.10
Cl (0.870, 0.509, 0.313)  0.10
Cl (0.187, 0.557, 0.196)  0.10
Sr (0.875, 0.750, 0.125)  0.00
Cl (0.687, 0.991, 0.130)  0.10
Cl (0.130, 0.639, 0.943)  0.10
Cl (0.557, 0.370, 0.361)  0.10
Sr (0.625, 0.250, 0.375)  0.00
Cs (0.375, 0.125, 0.750)  0.00
Cs (0.750, 0.625, 0.375)  0.00
Cl (0.861, 0.804, 0.991)  0.10
Cs (0.875, 0.625, 0.750)  0.00
Cl (0.313, 0.009, 0.870)  0.10
Cl (0.630, 0.187, 0.991)  0.10
Cl (0.196, 0.057, 0.187)  0.10
Cl (0.943, 0.139, 0.130)  0.10
Cl (0.557, 0.187, 0.696)  0.10
Cl (0.304, 0.991, 0.361)  0.10
Sr (0.375, 0.625, 0.250)  0.00
Sr (0.125, 0.875, 0.750)  0.00
Cl (0.813, 0.370, 0.509)  0.10
Cl (0.361, 0.870, 0.557)  0.10
Cl (0.991, 0.304, 0.861)  0.10
Cl (0.196, 0.139, 0.509)  0.10
Sr (0.625, 0.375, 0.750)  0.00
Cl (0.804, 0.943, 0.813)  0.10
Sr (0.750, 0.375, 0.125)  0.00
Cs (0.875, 0.250, 0.625)  0.00
Cl (0.057, 0.861, 0.870)  0.10
Sr (0.875, 0.125, 0.250)  0.00
Cs (0.125, 0.375, 0.250)  0.00
Cl (0.804, 0.861, 0.491)  0.10
Cs (0.125, 0.750, 0.375)  0.00

Summary:
Its space group is Ia-3d (230). The calculation puts the uncorrected formation energy at -38.654 eV per formula unit. For the density of states at the Fermi level, the calculation gives 107.683 states/eV per cell.

---

# 2
## Rb2AgHg2F6 (PBE)

Data for a relaxed structure of Rb2AgHg2F6.

abc: 6.647 6.665 7.487
angles: 117.90 90.00 119.91
Site moments in Bohr magnetons follow the coordinates.
Positions (direct):
F (0.789, 0.128, 0.745)  0.10
F (0.661, 0.872, 0.255)  0.10
F (0.735, 0.470, 0.494)  0.00
F (0.265, 0.530, 0.506)  0.00
F (0.211, 0.872, 0.255)  0.10
Hg (0.080, 0.160, 0.205)  0.01
Ag (0.500, 0.000, 0.500)  0.52
Rb (0.277, 0.554, 0.869)  0.00
Rb (0.723, 0.446, 0.131)  0.00
F (0.339, 0.128, 0.745)  0.10
Hg (0.920, 0.840, 0.795)  0.01

Summary:
Its space group is C2/m (12). The calculation puts the uncorrected formation energy at -18.781 eV per formula unit. For the density of states at the Fermi level, the calculation gives 0.010 states/eV per cell.

---

# 3
## LaRe3Mo (PBE)

Data for a relaxed structure of LaRe3Mo.

abc: 4.795 4.795 4.795
angles: 90.00 90.00 90.00
Positions (direct):
Re (0.000, 0.000, 0.500)
Mo (0.000, 0.000, 0.000)
Re (0.000, 0.500, 0.000)
Re (0.500, 0.000, 0.000)
La (0.500, 0.500, 0.500)

Summary:
As for the energy of formation: 6.76 eV per formula unit. Its space group is Pm-3m (221). Its relative energy among the computed polymorphs is 0.000 eV/atom. For the density of states at the Fermi level, the calculation gives 9.952 states/eV per cell.

---

# 4
## AcAlCuPd (PBE)

Data for a relaxed structure of AcAlCuPd.

abc: 4.404 4.404 5.844
angles: 111.87 90.00 120.00
Positions (direct):
Pd (0.418, 0.837, 0.896)
Ac (0.617, 0.233, 0.492)
Al (0.116, 0.233, 0.991)
Cu (0.815, 0.630, 0.087)

Summary:
As for the energy of formation: -2.34 eV per formula unit. Its space group is Cm (8). For the density of states at the Fermi level, the calculation gives 2.784 states/eV per cell.

---

# 5
## Ti5Cu2Pb (PBE)

Data for a relaxed structure of Ti5Cu2Pb.

abc: 6.926 6.926 7.547
angles: 117.31 117.31 90.00
Site moments in Bohr magnetons follow the coordinates.
Positions (direct):
Ti (0.492, 0.299, 0.291)  0.35
Ti (0.201, 0.008, 0.709)  0.35
Ti (0.799, 0.992, 0.291)  0.35
Ti (0.000, 0.000, 0.000)  0.94
Cu (0.366, 0.866, 0.000)  0.07
Ti (0.008, 0.508, 0.709)  0.35
Cu (0.866, 0.634, 0.000)  0.07
Ti (0.299, 0.799, 0.291)  0.35
Pb (0.250, 0.250, 0.500)  -0.03
Ti (0.701, 0.201, 0.709)  0.35
Ti (0.500, 0.500, 0.000)  0.94
Cu (0.634, 0.134, 0.000)  0.07
Ti (0.992, 0.492, 0.291)  0.35
Pb (0.750, 0.750, 0.500)  -0.03
Cu (0.134, 0.366, 0.000)  0.07
Ti (0.508, 0.701, 0.709)  0.35

Summary:
As for the energy of formation: 0.28 eV per formula unit. Its space group is I4/mcm (140). For the density of states at the Fermi level, the calculation gives 21.245 states/eV per cell.

---

# 6
## Nd3Al3Rh2 (PBE)

Data for a relaxed structure of Nd3Al3Rh2.

abc: 5.847 8.017 15.359
angles: 90.00 90.00 90.00
Positions (direct):
Nd (0.602, 0.029, 0.608)
Nd (0.898, 0.529, 0.608)
Nd (0.898, 0.529, 0.892)
Nd (0.102, 0.471, 0.392)
Rh (0.134, 0.867, 0.896)
Nd (0.108, 0.163, 0.750)
Al (0.408, 0.658, 0.536)
Rh (0.866, 0.133, 0.396)
Rh (0.366, 0.367, 0.604)
Al (0.903, 0.818, 0.750)
Al (0.592, 0.342, 0.464)
Rh (0.634, 0.633, 0.104)
Nd (0.398, 0.971, 0.108)
Al (0.092, 0.158, 0.536)
Nd (0.892, 0.837, 0.250)
Al (0.092, 0.158, 0.964)
Rh (0.134, 0.867, 0.604)
Al (0.403, 0.682, 0.250)
Nd (0.392, 0.663, 0.750)
Rh (0.866, 0.133, 0.104)
Rh (0.366, 0.367, 0.896)
Al (0.408, 0.658, 0.964)
Nd (0.608, 0.337, 0.250)
Al (0.597, 0.318, 0.750)
Al (0.097, 0.182, 0.250)
Nd (0.602, 0.029, 0.892)
Nd (0.398, 0.971, 0.392)
Nd (0.102, 0.471, 0.108)
Al (0.908, 0.842, 0.464)
Rh (0.634, 0.633, 0.396)
Al (0.592, 0.342, 0.036)
Al (0.908, 0.842, 0.036)

Summary:
As for the energy of formation: -5.38 eV per formula unit. Its space group is Pnma (62). For the density of states at the Fermi level, the calculation gives 23.092 states/eV per cell.

---

Calculated E, -3.506 -3.218 -9.268 -4.871 -6.387 -5.702 eV per atom (same order as the records).